The following is a DFT calculation (PBE-GGA) of a relaxed structure of Ce3PrOs8.

Computed properties:
**Space-group type**: R3m
**Calculated density**: 15.4 Mg/m³
**Formation energy**: -189 meV/atom

Cell and atoms, written as POSCAR:
```
Ce3PrOs8
1.0
5.1778 0.0000 1.5630
2.3530 4.6122 1.5630
-0.0084 -0.0051 9.3852
Pr Os Ce
1 8 3
Cartesian
6.5858 4.0336 6.2561
5.8884 2.0194 3.8919
4.4545 4.3212 8.6156
1.4097 0.8634 4.6879
7.0556 4.3212 9.4009
5.1716 3.1674 10.9407
4.4747 4.3276 3.8919
5.8735 2.0042 8.6156
3.2972 2.0194 3.1097
-0.0082 -0.0050 9.3848
3.7581 2.3017 6.2658
2.8148 1.7239 9.3905
```

=====

The following is a DFT calculation (PBE-GGA) of a relaxed structure of ZrSc2Hg.

Computed properties:
**Space-group type**: Immm
**Calculated density**: 6.9 Mg/m³
**Formation energy**: -117 meV/atom

Cell and atoms, written as POSCAR:
```
ZrSc2Hg
1.0
5.9934 0.0077 0.0037
2.8419 5.2768 -0.0037
-3.8831 -3.5361 2.8877
Zr Sc Hg
1 2 1
Cartesian
3.2640 -0.4431 1.4457
0.1603 0.0959 0.0000
4.2574 2.5464 0.0000
1.6883 2.1915 1.4420
```

=====

The following is a DFT calculation (PBE-GGA) of a relaxed structure of LiTc2Pb.

Computed properties:
**Space-group type**: R3m
**Calculated density**: 9.4 Mg/m³
**Formation energy**: 345 meV/atom

Cell and atoms, written as POSCAR:
```
LiTc2Pb
1.0
9.4650 0.0100 0.0059
8.9894 2.9628 0.0059
8.9894 1.4481 2.5848
Tc Pb Li
2 1 1
Cartesian
7.0103 1.1293 0.6633
27.1720 4.3771 2.5708
20.4993 3.3022 1.9395
13.9278 2.2436 1.3178
```

=====

The following is a DFT calculation (PBE-GGA) of a relaxed structure of Ac4GaPbN.

Computed properties:
**Space-group type**: Cmcm
**Calculated density**: 8.4 Mg/m³
**Uncorrected formation energy**: -0.624 eV per atom

Cell and atoms, written as POSCAR:
```
Ac4GaPbN
1.0
7.2508 0.0000 0.0000
0.0000 7.2732 0.0000
-3.6254 0.0000 8.9580
N Ga Ac Pb
2 2 8 2
Cartesian
3.6254 1.8183 3.9966
0.0000 5.4549 4.9614
3.6254 5.4549 6.8441
0.0000 1.8183 2.1139
-1.8127 3.6366 4.4790
0.0000 5.4549 7.4550
3.6254 1.8183 7.8637
3.6254 1.8183 1.5030
0.0000 5.4549 1.0943
1.8127 3.6366 4.4790
-1.8127 0.0000 4.4790
1.8127 0.0000 4.4790
3.6254 5.4549 1.9635
0.0000 1.8183 6.9945
```

=====

The following is a DFT calculation (PBE-GGA) of a relaxed structure of SmDy2Ho6Tm.

Computed properties:
**Space-group type**: C2/c
**Calculated density**: 8.6 Mg/m³
**Formation energy**: 120 meV/atom

Cell and atoms, written as POSCAR:
```
SmDy2Ho6Tm
1.0
9.0409 -2.0096 -2.0855
0.8099 8.4563 -1.9963
0.8099 -2.3083 8.3765
Ho Dy Tm Sm
12 4 2 2
Cartesian
8.5204 -0.2525 5.6647
5.7423 4.9335 -1.6135
6.5678 1.2917 3.6605
2.1404 4.3909 -1.3699
9.4389 4.9289 -1.6183
2.0474 4.6149 2.4692
3.9999 6.6749 1.0004
4.0929 2.8467 0.6343
8.6133 -0.4765 1.8255
6.6608 -2.5365 3.2944
1.2218 -0.7905 5.9131
4.9185 -0.7951 5.9083
9.8441 2.1200 3.3327
0.8166 2.0185 0.9621
5.3371 -0.1182 1.0100
5.3237 4.2566 3.2847
7.5906 2.5433 0.6850
3.0701 1.5951 3.6097
7.5906 -3.5604 6.5666
3.0701 7.6988 -2.2718
```

=====

The following is a DFT calculation (PBE-GGA) of a relaxed structure of Pr2Dy4In5.

Computed properties:
**Space-group type**: Fmmm
**Calculated density**: 7.1 Mg/m³
**Formation energy**: -157 meV/atom

Cell and atoms, written as POSCAR:
```
Pr2Dy4In5
1.0
6.4056 0.0000 0.0000
3.2028 5.3177 0.0000
3.2028 0.0000 10.3112
Pr Dy In
2 4 5
Cartesian
3.2028 0.0000 8.0405
6.4056 0.0000 2.2707
6.4056 1.7942 7.6859
9.6084 3.5235 7.6859
6.4056 3.5235 2.6253
3.2028 1.7942 2.6253
4.8042 2.6589 5.1556
3.2028 0.0000 0.0000
4.8042 2.6589 0.0000
8.0070 2.6589 5.1556
1.6014 2.6589 0.0000
```